(1)
The following is a DFT calculation (PBE) of an optimized crystal structure of RbCuAuSe.

Summary:
Uncorrected formation energy: -41.4 kJ/mol of atoms

Structure (POSCAR):
```
RbCuAuSe
1.0
-0.095 -3.414 2.028
3.959 -0.241 -0.221
1.024 6.600 11.160
Rb Cu Au Se
2 2 2 2
Direct
0.750 0.750 0.265
0.250 0.250 0.735
0.750 0.250 0.000
0.250 0.750 0.000
0.250 0.750 0.500
0.750 0.250 0.500
0.750 0.750 0.886
0.250 0.250 0.114
```


(2)
The following is a DFT calculation (PBE) of an optimized crystal structure of SrSi.

Summary:
Uncorrected formation energy: -21.5 kJ/mol of atoms

Structure (POSCAR):
```
SrSi
1.0
1.923 5.638 -0.020
-1.923 5.638 -0.020
0.000 4.606 8.621
Sr Si
3 3
Direct
0.619 0.619 0.762
0.011 0.011 0.415
0.765 0.765 0.013
0.016 0.016 0.084
0.381 0.381 0.197
0.374 0.374 0.697
```


(3)
The following is a DFT calculation (PBE) of an optimized crystal structure of Dy2Er3Tm3.

Summary:
Relative energy among the computed polymorphs: 239 meV per atom
ΔE_f: 263 meV/atom

Structure (POSCAR):
```
Dy2Er3Tm3
1.0
-5.693 1.471 2.403
-0.720 -5.999 1.961
2.721 1.484 5.545
Dy Er Tm
2 3 3
Direct
0.250 0.250 0.750
0.750 0.750 0.250
0.251 0.749 0.000
0.000 0.251 0.251
0.749 0.000 0.749
0.250 0.750 0.500
0.500 0.250 0.250
0.750 0.500 0.750
```


(4)
The following is a DFT calculation (PBE) of an optimized crystal structure of K3Tl4Hg2Bi2.

Summary:
ΔE_f: -186 meV/atom

Structure (POSCAR):
```
K3Tl4Hg2Bi2
1.0
5.778 0.000 0.000
-2.889 5.004 0.000
0.000 0.000 13.293
K Tl Hg Bi
3 4 2 2
Direct
0.000 0.000 0.716
0.000 0.000 0.000
0.000 0.000 0.284
0.667 0.333 0.120
0.333 0.667 0.880
0.667 0.333 0.604
0.333 0.667 0.396
0.667 0.333 0.375
0.333 0.667 0.625
0.667 0.333 0.855
0.333 0.667 0.145
```


(5)
The following is a DFT calculation (PBE) of an optimized crystal structure of V3SiHg.

Summary:
Relative energy among the computed polymorphs: 1178 meV per atom
Uncorrected formation energy: 176.4 kJ/mol of atoms

Structure (POSCAR):
```
V3SiHg
1.0
-2.051 0.474 4.426
4.336 -0.891 2.105
1.008 4.796 -0.046
Si Hg V
1 1 3
Direct
0.500 0.500 0.500
0.000 0.000 0.000
0.000 0.500 0.000
0.000 0.000 0.500
0.500 0.000 0.000
```


(6)
The following is a DFT calculation (PBE) of an optimized crystal structure of Ta2PtRh2.

Summary:
Relative energy among the computed polymorphs: 0 meV per atom
ΔE_f: -544 meV/atom

Structure (POSCAR):
```
Ta2PtRh2
1.0
-3.395 1.876 -0.704
-3.973 -2.682 0.975
-1.756 2.428 3.904
Ta Pt Rh
2 1 2
Direct
0.419 0.371 0.791
0.581 0.629 0.209
0.000 0.000 0.000
0.198 0.215 0.390
0.802 0.785 0.610
```


(7)
The following is a DFT calculation (PBE) of an optimized crystal structure of PmSc2Hg.

Summary:
Relative energy among the computed polymorphs: 0 meV per atom
ΔE_f: -191 meV/atom

Structure (POSCAR):
```
PmSc2Hg
1.0
3.451 0.000 0.000
0.000 3.451 0.000
0.000 0.000 8.559
Sc Hg Pm
2 1 1
Direct
0.000 0.000 0.786
0.000 0.000 0.214
0.500 0.500 0.000
0.500 0.500 0.500
```


(8)
The following is a DFT calculation (PBE) of an optimized crystal structure of AlZnHPd4.

Summary:
Uncorrected energy: -4.61 eV/atom

Structure (POSCAR):
```
AlZnHPd4
1.0
5.419 0.000 0.000
0.000 5.424 0.000
-2.710 0.000 6.547
Al Zn H Pd
2 2 2 8
Direct
0.113 0.250 0.225
0.887 0.750 0.775
0.609 0.750 0.218
0.391 0.250 0.782
0.260 0.750 0.520
0.740 0.250 0.480
0.927 0.250 0.855
0.419 0.750 0.839
0.073 0.750 0.145
0.581 0.250 0.161
0.500 0.500 0.500
0.000 0.000 0.500
0.500 0.000 0.500
0.000 0.500 0.500
```


(9)
The following is a DFT calculation (PBE) of an optimized crystal structure of Pr2P2Rh5.

Summary:
Relative energy among the computed polymorphs: 0 meV per atom
ΔE_f: -893 meV/atom

Structure (POSCAR):
```
Pr2P2Rh5
1.0
4.182 0.000 0.000
0.000 4.182 0.000
0.000 0.000 8.999
Pr P Rh
2 2 5
Direct
0.000 0.000 0.000
0.000 0.000 0.500
0.500 0.500 0.152
0.500 0.500 0.848
0.500 0.000 0.258
0.500 0.000 0.742
0.000 0.500 0.258
0.000 0.500 0.742
0.500 0.500 0.500
```


(10)
The following is a DFT calculation (PBE) of an optimized crystal structure of Cs3TcS4.

Summary:
Uncorrected formation energy: -58.9 kJ/mol of atoms

Structure (POSCAR):
```
Cs3TcS4
1.0
7.140 0.210 0.334
-2.627 6.643 -0.334
-2.627 -3.182 5.840
Cs Tc S
3 1 4
Direct
0.500 0.750 0.250
0.000 0.000 0.000
0.500 0.250 0.750
0.000 0.500 0.500
0.607 0.304 0.304
0.000 0.304 0.696
0.000 0.696 0.304
0.393 0.696 0.696
```


(11)
The following is a DFT calculation (PBE) of an optimized crystal structure of LaBe2CoIr.

Summary:
ΔE_f: 521 meV/atom

Structure (POSCAR):
```
LaBe2CoIr
1.0
4.169 0.000 0.000
0.000 4.935 0.000
0.000 0.000 4.169
Be Ir Co La
2 1 1 1
Direct
0.000 0.000 0.500
0.500 0.000 0.000
0.500 0.500 0.500
0.000 0.000 0.000
0.000 0.500 0.000
```


(12)
The following is a DFT calculation (PBE) of an optimized crystal structure of LiNd2P4Pd3.

Summary:
ΔE_f: -932 meV/atom

Structure (POSCAR):
```
LiNd2P4Pd3
1.0
4.276 0.000 0.000
0.000 4.276 0.000
0.000 0.000 9.693
Li Nd P Pd
1 2 4 3
Direct
0.500 0.500 0.500
0.500 0.000 0.245
0.000 0.500 0.755
0.500 0.500 0.000
0.000 0.000 0.000
0.500 0.000 0.635
0.000 0.500 0.365
0.000 0.000 0.500
0.500 0.000 0.886
0.000 0.500 0.114
```


no.,ρ (g/cm3)
1,6.876
2,3.077
3,8.639
4,7.579
5,5.380
6,15.916
7,7.096
8,8.958
9,9.054
10,3.688
11,7.899
12,6.919